1.
La2YTe2O2: relaxed, PBE.

CIF file:
```
data_La2YTe2O2
_chemical_formula_sum 'La2 Y1 Te2 O2'
_cell_length_a 4.446
_cell_length_b 4.446
_cell_length_c 8.970
_cell_angle_alpha 104.35
_cell_angle_beta 104.35
_cell_angle_gamma 90.00
_symmetry_space_group_name_H-M 'P 1'
_symmetry_Int_Tables_number 1
loop_
_symmetry_equiv_pos_as_xyz
'x,y,z'
loop_
_atom_site_label
_atom_site_type_symbol
_atom_site_fract_x
_atom_site_fract_y
_atom_site_fract_z
Y1 Y 0.000 0.000 0.000
La1 La 0.612 0.612 0.224
La2 La 0.388 0.388 0.776
Te1 Te 0.182 0.182 0.364
Te2 Te 0.818 0.818 0.636
O1 O 0.500 0.000 0.000
O2 O 0.000 0.500 0.000
```

Summary:
- V: 166.0 Å³/cell
- Formation energy without anion corrections: -221.4 kJ/mol of atoms
- D(E_F): 4.14 states/eV/cell
- Electronic total energy: -48.578 eV for the cell shown



2.
LaY2TeO8: relaxed, PBE.

CIF file:
```
data_LaY2TeO8
_chemical_formula_sum 'La1 Y2 Te1 O8'
_cell_length_a 5.021
_cell_length_b 5.028
_cell_length_c 7.147
_cell_angle_alpha 90.00
_cell_angle_beta 90.00
_cell_angle_gamma 90.77
_symmetry_space_group_name_H-M 'P 1'
_symmetry_Int_Tables_number 1
loop_
_symmetry_equiv_pos_as_xyz
'x,y,z'
loop_
_atom_site_label
_atom_site_type_symbol
_atom_site_fract_x
_atom_site_fract_y
_atom_site_fract_z
O1 O 0.278 0.277 0.000
Te1 Te 0.000 0.000 0.000
O2 O 0.722 0.723 0.000
O3 O 0.184 0.816 0.798
O4 O 0.678 0.679 0.500
La1 La 0.000 0.000 0.500
O5 O 0.816 0.184 0.202
O6 O 0.816 0.184 0.798
Y1 Y 0.500 0.500 0.238
Y2 Y 0.500 0.500 0.762
O7 O 0.322 0.321 0.500
O8 O 0.184 0.816 0.202
```

Summary:
- V: 180.4 Å³/cell
- Formation energy without anion corrections: -241.1 kJ/mol of atoms
- D(E_F): 4.38 states/eV/cell
- Electronic total energy: -90.647 eV for the cell shown



3.
LaYTe2O8: relaxed, PBE.

CIF file:
```
data_LaYTe2O8
_chemical_formula_sum 'La1 Y1 Te2 O8'
_cell_length_a 6.373
_cell_length_b 6.373
_cell_length_c 6.373
_cell_angle_alpha 107.35
_cell_angle_beta 107.35
_cell_angle_gamma 113.79
_symmetry_space_group_name_H-M 'P 1'
_symmetry_Int_Tables_number 1
loop_
_symmetry_equiv_pos_as_xyz
'x,y,z'
loop_
_atom_site_label
_atom_site_type_symbol
_atom_site_fract_x
_atom_site_fract_y
_atom_site_fract_z
O1 O 0.887 0.696 0.191
O2 O 0.376 0.055 0.322
O3 O 0.733 0.055 0.678
O4 O 0.945 0.267 0.322
La1 La 0.000 0.000 0.000
Te1 Te 0.750 0.250 0.500
O5 O 0.945 0.624 0.678
O6 O 0.505 0.696 0.809
O7 O 0.304 0.113 0.809
Te2 Te 0.500 0.500 0.000
O8 O 0.304 0.495 0.191
Y1 Y 0.250 0.750 0.500
```

Summary:
- V: 198.4 Å³/cell
- Formation energy without anion corrections: -186.7 kJ/mol of atoms
- D(E_F): 1.84 states/eV/cell
- Electronic total energy: -80.558 eV for the cell shown



4.
LaYTeO2: relaxed, PBE.

CIF file:
```
data_LaYTeO2
_chemical_formula_sum 'La1 Y1 Te1 O2'
_cell_length_a 4.039
_cell_length_b 4.039
_cell_length_c 7.054
_cell_angle_alpha 106.64
_cell_angle_beta 106.64
_cell_angle_gamma 90.00
_symmetry_space_group_name_H-M 'P 1'
_symmetry_Int_Tables_number 1
loop_
_symmetry_equiv_pos_as_xyz
'x,y,z'
loop_
_atom_site_label
_atom_site_type_symbol
_atom_site_fract_x
_atom_site_fract_y
_atom_site_fract_z
Y1 Y 0.837 0.837 0.673
O1 O 0.755 0.255 0.510
Te1 Te 0.495 0.495 0.990
O2 O 0.255 0.755 0.510
La1 La 0.159 0.159 0.317
```

Summary:
- V: 105.2 Å³/cell
- Formation energy without anion corrections: -285.9 kJ/mol of atoms
- D(E_F): 0.00 states/eV/cell
- Electronic total energy: -39.264 eV for the cell shown



5.
LaZnTe2O8: relaxed, PBE.

CIF file:
```
data_LaZnTe2O8
_chemical_formula_sum 'La1 Zn1 Te2 O8'
_cell_length_a 5.889
_cell_length_b 5.889
_cell_length_c 6.868
_cell_angle_alpha 90.00
_cell_angle_beta 90.00
_cell_angle_gamma 120.00
_symmetry_space_group_name_H-M 'P 1'
_symmetry_Int_Tables_number 1
loop_
_symmetry_equiv_pos_as_xyz
'x,y,z'
loop_
_atom_site_label
_atom_site_type_symbol
_atom_site_fract_x
_atom_site_fract_y
_atom_site_fract_z
O1 O 0.150 0.301 0.791
O2 O 0.150 0.850 0.791
O3 O 0.667 0.333 0.534
La1 La 0.000 0.000 0.500
O4 O 0.850 0.699 0.209
Te1 Te 0.667 0.333 0.266
O5 O 0.301 0.150 0.209
O6 O 0.699 0.850 0.791
Zn1 Zn 0.000 0.000 0.000
Te2 Te 0.333 0.667 0.734
O7 O 0.850 0.150 0.209
O8 O 0.333 0.667 0.466
```

Summary:
- V: 206.2 Å³/cell
- Formation energy without anion corrections: -132.2 kJ/mol of atoms
- D(E_F): 2.36 states/eV/cell
- Electronic total energy: -68.587 eV for the cell shown



6.
La2Th2O7: relaxed, PBE.

CIF file:
```
data_La2Th2O7
_chemical_formula_sum 'La2 Th2 O7'
_cell_length_a 3.991
_cell_length_b 3.991
_cell_length_c 11.438
_cell_angle_alpha 90.00
_cell_angle_beta 90.00
_cell_angle_gamma 90.00
_symmetry_space_group_name_H-M 'P 1'
_symmetry_Int_Tables_number 1
loop_
_symmetry_equiv_pos_as_xyz
'x,y,z'
loop_
_atom_site_label
_atom_site_type_symbol
_atom_site_fract_x
_atom_site_fract_y
_atom_site_fract_z
Th1 Th 0.500 0.000 0.378
O1 O 0.000 0.000 0.754
O2 O 0.500 0.500 0.737
La1 La 0.500 0.000 0.858
Th2 Th 0.000 0.500 0.622
O3 O 0.500 0.500 0.263
O4 O 0.500 0.500 0.500
La2 La 0.000 0.500 0.142
O5 O 0.000 0.000 0.246
O6 O 0.500 0.500 0.000
O7 O 0.000 0.000 0.500
```

Summary:
- V: 182.2 Å³/cell
- Formation energy without anion corrections: -351.4 kJ/mol of atoms
- D(E_F): 0.00 states/eV/cell
- Electronic total energy: -99.463 eV for the cell shown



7.
LaTh4O10: relaxed, PBE.

CIF file:
```
data_LaTh4O10
_chemical_formula_sum 'La1 Th4 O10'
_cell_length_a 3.990
_cell_length_b 3.990
_cell_length_c 16.476
_cell_angle_alpha 83.05
_cell_angle_beta 83.05
_cell_angle_gamma 60.00
_symmetry_space_group_name_H-M 'P 1'
_symmetry_Int_Tables_number 1
loop_
_symmetry_equiv_pos_as_xyz
'x,y,z'
loop_
_atom_site_label
_atom_site_type_symbol
_atom_site_fract_x
_atom_site_fract_y
_atom_site_fract_z
Th1 Th 0.800 0.800 0.599
O1 O 0.549 0.549 0.352
Th2 Th 0.600 0.600 0.201
O2 O 0.249 0.249 0.253
O3 O 0.648 0.648 0.057
La1 La 0.000 0.000 0.000
O4 O 0.947 0.947 0.158
Th3 Th 0.400 0.400 0.799
O5 O 0.751 0.751 0.747
O6 O 0.451 0.451 0.648
O7 O 0.053 0.053 0.842
O8 O 0.850 0.850 0.450
O9 O 0.150 0.150 0.550
O10 O 0.352 0.352 0.943
Th4 Th 0.200 0.200 0.401
```

Summary:
- V: 224.9 Å³/cell
- Formation energy without anion corrections: -352.6 kJ/mol of atoms
- D(E_F): 13.30 states/eV/cell
- Electronic total energy: -139.013 eV for the cell shown



8.
LaTh4O10: relaxed, PBE.

CIF file:
```
data_LaTh4O10
_chemical_formula_sum 'La1 Th4 O10'
_cell_length_a 6.911
_cell_length_b 6.911
_cell_length_c 6.911
_cell_angle_alpha 99.57
_cell_angle_beta 99.57
_cell_angle_gamma 131.86
_symmetry_space_group_name_H-M 'P 1'
_symmetry_Int_Tables_number 1
loop_
_symmetry_equiv_pos_as_xyz
'x,y,z'
loop_
_atom_site_label
_atom_site_type_symbol
_atom_site_fract_x
_atom_site_fract_y
_atom_site_fract_z
Th1 Th 0.100 0.300 0.400
O1 O 0.346 0.039 0.896
O2 O 0.857 0.551 0.896
O3 O 0.039 0.143 0.694
O4 O 0.750 0.250 0.500
O5 O 0.143 0.449 0.104
O6 O 0.961 0.857 0.306
La1 La 0.500 0.500 0.000
O7 O 0.654 0.961 0.104
Th2 Th 0.700 0.100 0.801
O8 O 0.551 0.654 0.694
Th3 Th 0.900 0.700 0.600
Th4 Th 0.300 0.900 0.199
O9 O 0.250 0.750 0.500
O10 O 0.449 0.346 0.306
```

Summary:
- V: 224.5 Å³/cell
- Formation energy without anion corrections: -353.0 kJ/mol of atoms
- D(E_F): 18.76 states/eV/cell
- Electronic total energy: -139.072 eV for the cell shown



9.
La2Th8O19: relaxed, PBE.

CIF file:
```
data_La2Th8O19
_chemical_formula_sum 'La2 Th8 O19'
_cell_length_a 3.979
_cell_length_b 3.979
_cell_length_c 28.301
_cell_angle_alpha 90.00
_cell_angle_beta 90.00
_cell_angle_gamma 90.00
_symmetry_space_group_name_H-M 'P 1'
_symmetry_Int_Tables_number 1
loop_
_symmetry_equiv_pos_as_xyz
'x,y,z'
loop_
_atom_site_label
_atom_site_type_symbol
_atom_site_fract_x
_atom_site_fract_y
_atom_site_fract_z
O1 O 0.500 0.000 0.746
O2 O 0.000 0.500 0.550
Th1 Th 0.500 0.500 0.103
O3 O 0.000 0.500 0.450
O4 O 0.500 0.000 0.057
O5 O 0.000 0.500 0.750
O6 O 0.500 0.000 0.647
Th2 Th 0.500 0.500 0.500
O7 O 0.000 0.500 0.649
O8 O 0.000 0.500 0.350
Th3 Th 0.000 0.000 0.599
O9 O 0.000 0.500 0.150
O10 O 0.000 0.500 0.851
O11 O 0.500 0.000 0.549
O12 O 0.500 0.000 0.253
Th4 Th 0.000 0.000 0.797
Th5 Th 0.500 0.500 0.301
O13 O 0.500 0.000 0.843
La1 La 0.500 0.500 0.893
O14 O 0.000 0.500 0.251
O15 O 0.500 0.000 0.351
O16 O 0.500 0.000 0.450
Th6 Th 0.000 0.000 0.400
La2 La 0.000 0.000 0.007
O17 O 0.000 0.500 0.049
O18 O 0.500 0.000 0.950
O19 O 0.500 0.000 0.154
Th7 Th 0.500 0.500 0.698
Th8 Th 0.000 0.000 0.202
```

Summary:
- V: 448.1 Å³/cell
- Formation energy without anion corrections: -367.0 kJ/mol of atoms
- D(E_F): 0.00 states/eV/cell
- Electronic total energy: -273.717 eV for the cell shown



10.
La2ThO: relaxed, PBE.

CIF file:
```
data_La2ThO
_chemical_formula_sum 'La2 Th1 O1'
_cell_length_a 3.583
_cell_length_b 3.583
_cell_length_c 10.144
_cell_angle_alpha 79.83
_cell_angle_beta 79.83
_cell_angle_gamma 60.00
_symmetry_space_group_name_H-M 'P 1'
_symmetry_Int_Tables_number 1
loop_
_symmetry_equiv_pos_as_xyz
'x,y,z'
loop_
_atom_site_label
_atom_site_type_symbol
_atom_site_fract_x
_atom_site_fract_y
_atom_site_fract_z
Th1 Th 0.000 0.000 0.000
La1 La 0.882 0.882 0.353
La2 La 0.118 0.118 0.647
O1 O 0.500 0.500 0.500
```

Summary:
- V: 110.4 Å³/cell
- Formation energy without anion corrections: -107.8 kJ/mol of atoms
- D(E_F): 4.55 states/eV/cell
- Electronic total energy: -26.701 eV for the cell shown



11.
LaTh3O8: relaxed, PBE.

CIF file:
```
data_LaTh3O8
_chemical_formula_sum 'La1 Th3 O8'
_cell_length_a 5.649
_cell_length_b 5.649
_cell_length_c 5.649
_cell_angle_alpha 90.00
_cell_angle_beta 90.00
_cell_angle_gamma 90.00
_symmetry_space_group_name_H-M 'P 1'
_symmetry_Int_Tables_number 1
loop_
_symmetry_equiv_pos_as_xyz
'x,y,z'
loop_
_atom_site_label
_atom_site_type_symbol
_atom_site_fract_x
_atom_site_fract_y
_atom_site_fract_z
O1 O 0.255 0.745 0.255
Th1 Th 0.500 0.000 0.500
O2 O 0.745 0.255 0.255
O3 O 0.255 0.255 0.745
Th2 Th 0.000 0.500 0.500
O4 O 0.745 0.745 0.255
La1 La 0.000 0.000 0.000
O5 O 0.745 0.255 0.745
Th3 Th 0.500 0.500 0.000
O6 O 0.255 0.745 0.745
O7 O 0.255 0.255 0.255
O8 O 0.745 0.745 0.745
```

Summary:
- V: 180.2 Å³/cell
- Formation energy without anion corrections: -347.2 kJ/mol of atoms
- D(E_F): 14.01 states/eV/cell
- Electronic total energy: -110.030 eV for the cell shown



12.
La2Th2O7: relaxed, PBE.

CIF file:
```
data_La2Th2O7
_chemical_formula_sum 'La4 Th4 O14'
_cell_length_a 8.078
_cell_length_b 8.078
_cell_length_c 8.078
_cell_angle_alpha 60.00
_cell_angle_beta 60.00
_cell_angle_gamma 60.00
_symmetry_space_group_name_H-M 'P 1'
_symmetry_Int_Tables_number 1
loop_
_symmetry_equiv_pos_as_xyz
'x,y,z'
loop_
_atom_site_label
_atom_site_type_symbol
_atom_site_fract_x
_atom_site_fract_y
_atom_site_fract_z
O1 O 0.223 0.777 0.777
O2 O 0.223 0.777 0.223
O3 O 0.777 0.223 0.777
O4 O 0.473 0.027 0.473
Th1 Th 0.125 0.125 0.625
O5 O 0.750 0.750 0.750
La1 La 0.625 0.125 0.625
O6 O 0.027 0.473 0.027
O7 O 0.223 0.223 0.777
O8 O 0.777 0.777 0.223
O9 O 0.027 0.027 0.473
O10 O 0.473 0.473 0.027
O11 O 0.473 0.027 0.027
Th2 Th 0.625 0.125 0.125
Th3 Th 0.125 0.625 0.125
La2 La 0.625 0.625 0.625
La3 La 0.125 0.625 0.625
O12 O 0.777 0.223 0.223
O13 O 0.500 0.500 0.500
Th4 Th 0.125 0.125 0.125
La4 La 0.625 0.625 0.125
O14 O 0.027 0.473 0.473
```

Summary:
- V: 372.8 Å³/cell
- Formation energy without anion corrections: -347.0 kJ/mol of atoms
- D(E_F): 0.00 states/eV/cell
- Electronic total energy: -197.917 eV for the cell shown